<1>
A plane-wave DFT calculation with PBE-GGA was carried out for SrAuSe2Br after structural relaxation.

abc: 6.001 6.001 5.759
angles: 90.00 90.00 90.00
Site moments in Bohr magnetons follow the coordinates.
Atoms (fractional coordinates):
Sr 0.000 0.000 0.000  -0.01
Se 0.000 0.500 0.000  0.67
Se 0.500 0.000 0.000  0.67
Br 0.000 0.000 0.500  0.07
Au 0.500 0.500 0.500  -0.11

Results
density	4.18	g/cm³
M_tot	0.414	μB per atom

---

<2>
A plane-wave DFT calculation with PBE-GGA was carried out for SrAuSe2Br after structural relaxation.

abc: 5.200 5.200 5.265
angles: 90.00 90.00 90.00
Atoms (fractional coordinates):
Se 0.500 0.000 0.000
Se 0.000 0.500 0.000
Br 0.000 0.000 0.500
Sr 0.500 0.500 0.500
Au 0.000 0.000 0.000

Results
density	6.09	g/cm³
M_tot	0.000	μB per atom

---

In terms of stability, <2> leads; the second structure lies 773 meV/atom higher.

---

<1>
A plane-wave DFT calculation with PBE-GGA was carried out for TaAuSeBr2 after structural relaxation.

abc: 5.106 5.106 5.252
angles: 90.00 90.00 90.00
Site moments in Bohr magnetons follow the coordinates.
Atoms (fractional coordinates):
Se 0.000 0.000 0.500  -0.14
Br 0.500 0.000 0.000  -0.02
Br 0.000 0.500 0.000  -0.02
Ta 0.500 0.500 0.500  2.17
Au 0.000 0.000 0.000  0.00

Results
density	7.48	g/cm³
M_tot	0.609	μB per atom

---

<2>
A plane-wave DFT calculation with PBE-GGA was carried out for TaAuSeBr2 after structural relaxation.

abc: 5.146 5.146 4.998
angles: 90.00 90.00 90.00
Atoms (fractional coordinates):
Se 0.000 0.000 0.500
Au 0.500 0.500 0.500
Br 0.500 0.000 0.000
Br 0.000 0.500 0.000
Ta 0.000 0.000 0.000

Results
density	7.74	g/cm³
M_tot	0.000	μB per atom

---

In terms of stability, <2> leads; the second structure lies 945 meV/atom higher.

---

<1>
A plane-wave DFT calculation with PBE-GGA was carried out for TaAuSe2Br after structural relaxation.

abc: 5.096 5.096 4.988
angles: 90.00 90.00 90.00
Site moments in Bohr magnetons follow the coordinates.
Atoms (fractional coordinates):
Se 0.500 0.000 0.000  -0.20
Se 0.000 0.500 0.000  -0.20
Ta 0.500 0.500 0.500  1.93
Br 0.000 0.000 0.500  -0.04
Au 0.000 0.000 0.000  -0.02

Results
density	7.89	g/cm³
M_tot	0.449	μB per atom

---

<2>
A plane-wave DFT calculation with PBE-GGA was carried out for TaAuSe2Br after structural relaxation.

abc: 5.017 5.017 5.159
angles: 90.00 90.00 90.00
Atoms (fractional coordinates):
Se 0.000 0.500 0.000
Se 0.500 0.000 0.000
Br 0.000 0.000 0.500
Au 0.500 0.500 0.500
Ta 0.000 0.000 0.000

Results
density	7.88	g/cm³
M_tot	0.000	μB per atom

---

In terms of stability, <2> leads; the second structure lies 967 meV/atom higher.

---

<1>
A plane-wave DFT calculation with PBE-GGA was carried out for TiAuSe2Br after structural relaxation.

abc: 4.934 4.934 5.112
angles: 90.00 90.00 90.00
Atoms (fractional coordinates):
Ti 0.000 0.000 0.000
Se 0.500 0.000 0.000
Se 0.000 0.500 0.000
Br 0.000 0.000 0.500
Au 0.500 0.500 0.500

Results
density	6.44	g/cm³
M_tot	0.000	μB per atom

---

<2>
A plane-wave DFT calculation with PBE-GGA was carried out for TiAuSe2Br after structural relaxation.

abc: 5.136 5.136 5.052
angles: 90.00 90.00 90.00
Site moments in Bohr magnetons follow the coordinates.
Atoms (fractional coordinates):
Ti 0.500 0.500 0.500  -0.12
Au 0.000 0.000 0.000  0.01
Br 0.000 0.000 0.500  -0.01
Se 0.000 0.500 0.000  0.09
Se 0.500 0.000 0.000  0.09

Results
density	6.01	g/cm³
M_tot	0.024	μB per atom

---

In terms of stability, <1> leads; the second structure lies 710 meV/atom higher.

---

<1>
A plane-wave DFT calculation with PBE-GGA was carried out for WAuSeBr2 after structural relaxation.

abc: 5.087 5.087 5.368
angles: 90.00 90.00 90.00
Site moments in Bohr magnetons follow the coordinates.
Atoms (fractional coordinates):
Br 0.000 0.500 0.000  0.01
Br 0.500 0.000 0.000  0.01
Au 0.000 0.000 0.000  0.00
Se 0.000 0.000 0.500  -0.22
W 0.500 0.500 0.500  3.35

Results
density	7.41	g/cm³
M_tot	0.848	μB per atom

---

<2>
A plane-wave DFT calculation with PBE-GGA was carried out for WAuSeBr2 after structural relaxation.

abc: 5.164 5.164 4.860
angles: 90.00 90.00 90.00
Site moments in Bohr magnetons follow the coordinates.
Atoms (fractional coordinates):
Br 0.500 0.000 0.000  0.04
Br 0.000 0.500 0.000  0.04
Au 0.500 0.500 0.500  0.04
W 0.000 0.000 0.000  0.88
Se 0.000 0.000 0.500  0.00

Results
density	7.94	g/cm³
M_tot	0.246	μB per atom

---

In terms of stability, <2> leads; the second structure lies 770 meV/atom higher.

---

<1>
A plane-wave DFT calculation with PBE-GGA was carried out for ZnAuSeBr2 after structural relaxation.

abc: 5.546 4.781 5.546
angles: 90.00 90.00 90.00
Atoms (fractional coordinates):
Au 0.500 0.500 0.500
Br 0.500 0.000 0.000
Br 0.000 0.000 0.500
Se 0.000 0.000 0.000
Zn 0.000 0.500 0.000

Results
density	5.66	g/cm³
M_tot	0.000	μB per atom

---

<2>
A plane-wave DFT calculation with PBE-GGA was carried out for ZnAuSeBr2 after structural relaxation.

abc: 5.097 5.097 5.091
angles: 90.00 90.00 90.00
Site moments in Bohr magnetons follow the coordinates.
Atoms (fractional coordinates):
Zn 0.000 0.000 0.000  0.00
Au 0.500 0.500 0.500  0.04
Br 0.000 0.500 0.000  0.10
Br 0.500 0.000 0.000  0.10
Se 0.000 0.000 0.500  0.46

Results
density	6.29	g/cm³
M_tot	0.202	μB per atom

---

<3>
A plane-wave DFT calculation with PBE-GGA was carried out for ZnAuSeBr2 after structural relaxation.

abc: 5.194 5.194 5.321
angles: 90.00 90.00 90.00
Atoms (fractional coordinates):
Au 0.000 0.000 0.000
Se 0.000 0.000 0.500
Zn 0.500 0.500 0.500
Br 0.000 0.500 0.000
Br 0.500 0.000 0.000

Results
density	5.80	g/cm³
M_tot	0.000	μB per atom

---

In terms of stability, <2> leads; the second structure lies 12 meV/atom higher.